Ho2PuNiO8 (PBE with a Hubbard U, relaxed); uncorrected energy = -7.910 eV per atom; total magnetic moment = 0.029 μB per formula unit
1.0
4.561 -0.263 -0.101
-0.254 5.025 0.286
-0.136 0.403 7.034
Ho Pu Ni O
2 1 1 8
Direct
0.422 0.517 0.735
0.578 0.483 0.265
0.000 0.000 0.000
0.000 0.000 0.500
0.129 0.715 0.178
0.636 0.757 0.978
0.852 0.142 0.260
0.871 0.285 0.822
0.364 0.243 0.022
0.148 0.858 0.740
0.708 0.719 0.507
0.292 0.281 0.493